The following is a PBE-GGA calculation of a relaxed BaSrTlAu crystal, from Alexandria.

Cell lengths 5.763, 5.763, 5.763 Å; angles 60.00, 60.00, 60.00 degrees
Positions (direct):
1 Ba 0.750 0.750 0.750
2 Sr 0.250 0.250 0.250
3 Au 0.000 0.000 0.000
4 Tl 0.500 0.500 0.500

Values from the calculation:
Symmetry: F-43m, No. 216
ΔH_f (0 K) (eV per atom): -0.485
Total moment (μB/f.u.): 0.00



The following is a PBE-GGA calculation of a relaxed TbGdAu crystal, from Alexandria.

Cell lengths 3.631, 3.631, 6.645 Å; angles 105.86, 105.86, 90.00 degrees
Positions (direct):
1 Au 0.954 0.954 0.907
2 Gd 0.303 0.303 0.606
3 Tb 0.593 0.593 0.187

Values from the calculation:
Symmetry: I4mm, No. 107
ΔH_f (0 K) (eV per atom): -0.544
Total moment (μB/f.u.): 8.10



The following is a PBE-GGA calculation of a relaxed Sm3Zn2SiPt9 crystal, from Alexandria.

Cell lengths 6.495, 6.495, 8.623 Å; angles 90.00, 90.00, 120.00 degrees
Positions (direct):
1 Pt 0.860 0.721 0.705
2 Sm 0.000 0.000 0.000
3 Sm 0.333 0.667 0.718
4 Pt 0.500 0.000 0.000
5 Pt 0.000 0.500 0.000
6 Zn 0.667 0.333 0.812
7 Pt 0.860 0.140 0.705
8 Pt 0.279 0.140 0.705
9 Pt 0.140 0.860 0.295
10 Pt 0.500 0.500 0.000
11 Pt 0.140 0.279 0.295
12 Zn 0.333 0.667 0.188
13 Si 0.000 0.000 0.500
14 Pt 0.721 0.860 0.295
15 Sm 0.667 0.333 0.282

Values from the calculation:
Symmetry: P-3m1, No. 164
Formation energy from raw total energies (eV per formula unit): -8.31
Total moment (μB/f.u.): 0.00



The following is a PBE-GGA calculation of a relaxed MnInBr5 crystal, from Alexandria.

Cell lengths 7.546, 7.547, 10.055 Å; angles 109.40, 109.40, 91.20 degrees
Positions (direct):
1 Br 0.759 0.328 0.653
2 Br 0.241 0.672 0.347
3 Br 0.828 0.259 0.153
4 In 0.125 0.375 0.750
5 Mn 0.500 0.000 0.000
6 Mn 0.500 0.000 0.500
7 Br 0.559 0.942 0.750
8 Br 0.441 0.058 0.250
9 Br 0.172 0.741 0.847
10 Br 0.773 0.766 0.478
11 Br 0.227 0.234 0.522
12 Br 0.734 0.727 0.023
13 In 0.875 0.625 0.250
14 Br 0.266 0.273 0.977

Values from the calculation:
Symmetry: C2/c, No. 15
Formation energy from raw total energies (eV per formula unit): -5.09
Total moment (μB/f.u.): 5.00



The following is a PBE-GGA calculation of a relaxed PuMnGe crystal, from Alexandria.

Cell lengths 4.139, 4.139, 6.582 Å; angles 90.00, 90.00, 90.00 degrees
Positions (direct):
1 Pu 0.250 0.250 0.685
2 Ge 0.750 0.750 0.788
3 Pu 0.750 0.750 0.315
4 Mn 0.250 0.750 0.000
5 Ge 0.250 0.250 0.212
6 Mn 0.750 0.250 0.000

Values from the calculation:
Symmetry: P4/nmm, No. 129
ΔH_f (0 K) (eV per atom): -0.321
Total moment (μB/f.u.): 3.57



The following is a PBE-GGA calculation of a relaxed LiTaP3 crystal, from Alexandria.

Cell lengths 4.832, 4.832, 4.832 Å; angles 90.00, 90.00, 90.00 degrees
Positions (direct):
1 P 0.000 0.000 0.500
2 P 0.500 0.000 0.000
3 Ta 0.000 0.000 0.000
4 P 0.000 0.500 0.000
5 Li 0.500 0.500 0.500

Values from the calculation:
Symmetry: Pm-3m, No. 221
ΔH_f (0 K) (eV per atom): 0.083
Total moment (μB/f.u.): 0.00



The following is a PBE-GGA calculation of a relaxed Na2SbPb2 crystal, from Alexandria.

Cell lengths 7.748, 7.748, 4.828 Å; angles 90.00, 90.00, 90.00 degrees
Positions (direct):
1 Na 0.136 0.364 0.000
2 Pb 0.672 0.828 0.500
3 Pb 0.172 0.672 0.500
4 Sb 0.000 0.000 0.000
5 Sb 0.500 0.500 0.000
6 Pb 0.828 0.328 0.500
7 Na 0.636 0.136 0.000
8 Na 0.364 0.864 0.000
9 Na 0.864 0.636 0.000
10 Pb 0.328 0.172 0.500

Values from the calculation:
Symmetry: P4/mbm, No. 127
Formation energy from raw total energies (eV per formula unit): -0.01
Total moment (μB/f.u.): 0.00



The following is a PBE-GGA calculation of a relaxed Ac5Ge6 crystal, from Alexandria.

Cell lengths 4.788, 4.276, 15.820 Å; angles 97.77, 90.00, 90.00 degrees
Positions (direct):
1 Ac 0.500 0.198 0.395
2 Ge 0.000 0.722 0.444
3 Ge 0.500 0.541 0.083
4 Ac 0.500 0.802 0.605
5 Ge 0.500 0.907 0.814
6 Ac 0.000 0.000 0.000
7 Ge 0.500 0.093 0.186
8 Ac 0.000 0.613 0.225
9 Ac 0.000 0.387 0.775
10 Ge 0.000 0.278 0.556
11 Ge 0.500 0.459 0.917

Values from the calculation:
Symmetry: Cmmm, No. 65
ΔH_f (0 K) (eV per atom): -0.674
Total moment (μB/f.u.): 0.17



The following is a PBE-GGA calculation of a relaxed LaSb4Pb crystal, from Alexandria.

Cell lengths 6.320, 6.320, 6.320 Å; angles 60.00, 60.00, 60.00 degrees
Positions (direct):
1 Sb 0.375 0.375 0.875
2 Sb 0.875 0.375 0.375
3 Pb 0.000 0.000 0.000
4 Sb 0.375 0.375 0.375
5 Sb 0.375 0.875 0.375
6 La 0.750 0.750 0.750

Values from the calculation:
Symmetry: F-43m, No. 216
Formation energy from raw total energies (eV per formula unit): -1.09
Total moment (μB/f.u.): 0.00



The following is a PBE-GGA calculation of a relaxed PdRhSeN2 crystal, from Alexandria.

Cell lengths 3.745, 3.745, 5.664 Å; angles 90.00, 90.00, 90.00 degrees
Positions (direct):
1 N 0.000 0.500 0.000
2 Se 0.000 0.000 0.500
3 N 0.500 0.000 0.000
4 Rh 0.000 0.000 0.000
5 Pd 0.500 0.500 0.500

Values from the calculation:
Symmetry: P4/mmm, No. 123
Formation energy from raw total energies (eV per formula unit): 5.04
Total moment (μB/f.u.): 0.41



The following is a PBE-GGA calculation of a relaxed SrHg2Pb2 crystal, from Alexandria.

Cell lengths 5.405, 5.405, 6.668 Å; angles 66.47, 66.47, 60.41 degrees
Positions (direct):
1 Pb 0.798 0.298 0.605
2 Pb 0.202 0.702 0.395
3 Hg 0.592 0.092 0.222
4 Sr 0.000 0.500 0.000
5 Hg 0.408 0.908 0.778

Values from the calculation:
Symmetry: C2/m, No. 12
ΔH_f (0 K) (eV per atom): -0.300
Total moment (μB/f.u.): 0.00



The following is a PBE-GGA calculation of a relaxed KSmAu2 crystal, from Alexandria.

Cell lengths 4.247, 4.247, 8.546 Å; angles 75.61, 75.61, 60.00 degrees
Positions (direct):
1 Au 0.735 0.735 0.794
2 Sm 0.000 0.000 0.000
3 Au 0.265 0.265 0.206
4 K 0.500 0.500 0.500

Values from the calculation:
Symmetry: R-3m, No. 166
ΔH_f (0 K) (eV per atom): -0.442
Total moment (μB/f.u.): 0.00



The following is a PBE-GGA calculation of a relaxed Mg2NiPtN crystal, from Alexandria.

Cell lengths 4.983, 4.587, 4.983 Å; angles 90.00, 90.00, 90.00 degrees
Positions (direct):
1 Mg 0.500 0.000 0.000
2 N 0.500 0.500 0.500
3 Ni 0.000 0.500 0.000
4 Mg 0.000 0.000 0.500
5 Pt 0.000 0.000 0.000

Values from the calculation:
Symmetry: P4/mmm, No. 123
Formation energy from raw total energies (eV per formula unit): 5.73
Total moment (μB/f.u.): 1.16



The following is a PBE-GGA calculation of a relaxed AlAsPt2 crystal, from Alexandria.

Cell lengths 4.104, 4.104, 8.699 Å; angles 76.36, 76.36, 90.00 degrees
Positions (direct):
1 Pt 0.119 0.625 0.250
2 Pt 0.631 0.125 0.250
3 As 0.750 0.250 0.500
4 Al 0.500 0.500 0.000
5 Pt 0.875 0.881 0.750
6 As 0.000 0.000 0.000
7 Pt 0.375 0.369 0.750
8 Al 0.250 0.750 0.500

Values from the calculation:
Symmetry: I-42d, No. 122
ΔH_f (0 K) (eV per atom): -0.458
Total moment (μB/f.u.): 0.00



The following is a PBE-GGA calculation of a relaxed AcSm3Ni2 crystal, from Alexandria.

Cell lengths 4.008, 8.603, 10.246 Å; angles 79.17, 78.72, 76.53 degrees
Positions (direct):
1 Ni 0.767 0.919 0.546
2 Ni 0.230 0.587 0.952
3 Ac 0.850 0.553 0.746
4 Ac 0.150 0.447 0.254
5 Sm 0.154 0.942 0.750
6 Sm 0.846 0.058 0.250
7 Sm 0.412 0.737 0.439
8 Ni 0.233 0.081 0.454
9 Ni 0.770 0.413 0.048
10 Sm 0.583 0.783 0.052
11 Sm 0.588 0.263 0.561
12 Sm 0.417 0.217 0.948

Values from the calculation:
Symmetry: C2/m, No. 12
ΔH_f (0 K) (eV per atom): -0.204
Total moment (μB/f.u.): 0.00



The following is a PBE-GGA calculation of a relaxed CsYBeSe3 crystal, from Alexandria.

Cell lengths 4.055, 9.945, 9.939 Å; angles 112.78, 90.00, 90.00 degrees
Positions (direct):
1 Be 0.250 0.077 0.606
2 Se 0.250 0.524 0.835
3 Cs 0.250 0.213 0.242
4 Cs 0.750 0.787 0.758
5 Se 0.750 0.878 0.158
6 Y 0.250 0.669 0.144
7 Se 0.250 0.122 0.842
8 Be 0.750 0.923 0.394
9 Se 0.250 0.836 0.464
10 Se 0.750 0.476 0.165
11 Se 0.750 0.164 0.536
12 Y 0.750 0.331 0.856

Values from the calculation:
Symmetry: P2_1/m, No. 11
Formation energy from raw total energies (eV per formula unit): -8.48
Total moment (μB/f.u.): 0.00



The following is a PBE-GGA calculation of a relaxed LiNpBr6 crystal, from Alexandria.

Cell lengths 7.015, 7.013, 7.482 Å; angles 62.04, 62.04, 59.99 degrees
Positions (direct):
1 Np 0.000 0.000 0.000
2 Br 0.103 0.386 0.752
3 Br 0.240 0.897 0.248
4 Br 0.897 0.614 0.248
5 Br 0.386 0.760 0.752
6 Li 0.500 0.500 0.500
7 Br 0.760 0.103 0.752
8 Br 0.614 0.240 0.248

Values from the calculation:
Symmetry: R-3, No. 148
Formation energy from raw total energies (eV per formula unit): -9.25
Total moment (μB/f.u.): 2.00



The following is a PBE-GGA calculation of a relaxed Ce3Sb2 crystal, from Alexandria.

Cell lengths 4.439, 11.532, 12.539 Å; angles 90.00, 90.00, 90.00 degrees
Positions (direct):
1 Ce 0.750 0.439 0.130
2 Ce 0.750 0.789 0.773
3 Sb 0.250 0.318 0.989
4 Ce 0.250 0.211 0.227
5 Sb 0.750 0.682 0.011
6 Ce 0.250 0.939 0.370
7 Sb 0.250 0.504 0.310
8 Ce 0.250 0.561 0.870
9 Sb 0.750 0.496 0.690
10 Sb 0.750 0.004 0.190
11 Ce 0.250 0.289 0.727
12 Sb 0.250 0.182 0.489
13 Ce 0.250 0.875 0.045
14 Sb 0.250 0.996 0.810
15 Sb 0.750 0.818 0.511
16 Ce 0.750 0.125 0.955
17 Ce 0.750 0.375 0.455
18 Ce 0.250 0.625 0.545
19 Ce 0.750 0.711 0.273
20 Ce 0.750 0.061 0.630

Values from the calculation:
Symmetry: Pnma, No. 62
Formation energy from raw total energies (eV per formula unit): -3.86
Total moment (μB/f.u.): 4.90



The following is a PBE-GGA calculation of a relaxed AcSe6Br12 crystal, from Alexandria.

Cell lengths 9.382, 9.382, 9.382 Å; angles 74.50, 74.50, 74.50 degrees
Positions (direct):
1 Br 0.708 0.574 0.971
2 Br 0.257 0.829 0.168
3 Ac 0.000 0.000 0.000
4 Br 0.168 0.257 0.829
5 Se 0.501 0.761 0.665
6 Br 0.574 0.971 0.708
7 Br 0.171 0.832 0.743
8 Br 0.971 0.708 0.574
9 Se 0.239 0.335 0.499
10 Br 0.029 0.292 0.426
11 Se 0.761 0.665 0.501
12 Se 0.335 0.499 0.239
13 Br 0.426 0.029 0.292
14 Br 0.292 0.426 0.029
15 Se 0.665 0.501 0.761
16 Br 0.832 0.743 0.171
17 Se 0.499 0.239 0.335
18 Br 0.829 0.168 0.257
19 Br 0.743 0.171 0.832

Values from the calculation:
Symmetry: R-3, No. 148
Formation energy from raw total energies (eV per formula unit): -6.94
Total moment (μB/f.u.): 0.00



The following is a PBE-GGA calculation of a relaxed UAl2BiO8 crystal, from Alexandria.

Cell lengths 4.701, 4.701, 6.601 Å; angles 90.00, 90.00, 89.53 degrees
Positions (direct):
1 O 0.218 0.782 0.767
2 O 0.669 0.669 0.500
3 O 0.690 0.690 0.000
4 Al 0.500 0.500 0.255
5 O 0.310 0.310 0.000
6 U 0.000 0.000 0.000
7 Bi 0.000 0.000 0.500
8 O 0.782 0.218 0.767
9 O 0.331 0.331 0.500
10 O 0.782 0.218 0.233
11 Al 0.500 0.500 0.745
12 O 0.218 0.782 0.233

Values from the calculation:
Symmetry: Cmmm, No. 65
Formation energy from raw total energies (eV per formula unit): -28.60
Total moment (μB/f.u.): 0.00